This record from Alexandria via LeMat-Bulk describes a relaxed structure of HgH6N2F. The functional is PBE.

Results
**Total moment**: 0.00 μB per cell
**VASP energy**: -4.40 eV per atom
**Mass density**: 4.5 Mg/m³
**Crystal system**: monoclinic

Structure (CIF):
```
data_HgH6N2F
_chemical_formula_sum 'Hg4 H24 N8 F4'
_symmetry_space_group_name_H-M 'C 1 2/c 1'
_symmetry_Int_Tables_number 15
_cell_length_a 9.029
_cell_length_b 8.833
_cell_length_c 4.710
_cell_angle_alpha 90.00
_cell_angle_beta 91.10
_cell_angle_gamma 90.00
loop_
_symmetry_equiv_pos_as_xyz
'x,y,z'
'-x,-y,-z'
'-x,y,-z+1/2'
'x,-y,z+1/2'
'x+1/2,y+1/2,z'
'-x+1/2,-y+1/2,-z'
'-x+1/2,y+1/2,-z+1/2'
'x+1/2,-y+1/2,z+1/2'
loop_
_atom_site_label
_atom_site_type_symbol
_atom_site_fract_x
_atom_site_fract_y
_atom_site_fract_z
Hg1 Hg 0.000 0.099 0.250
H1 H 0.126 0.362 0.065
H2 H 0.129 0.366 0.428
H3 H 0.222 0.203 0.749
N1 N 0.166 0.311 0.249
F1 F 0.000 0.348 0.750
```